No. 1
Material: Al8In
Method: DFT, PBE-GGA
State: optimized geometry

Cell: 6.549 6.549 6.549 Å, 95.69 95.69 143.29°
Element x y z (fractional)
Al1 0.326 0.674 0.000
Al2 0.674 0.326 0.000
Al3 0.000 0.340 0.340
Al4 0.674 0.674 0.348
Al5 0.340 0.000 0.340
Al6 0.326 0.326 0.652
Al7 0.000 0.660 0.660
Al8 0.660 0.000 0.660
In1 0.000 0.000 0.000

Space group: I4/mmm
N(E_F) (states/eV per atom): 0.499
Final energy (eV per cell): -31.9

***

No. 2
Material: HfTa2Rh5
Method: DFT, PBE-GGA
State: optimized geometry

Cell: 4.111 5.580 11.091 Å, 90.00 90.00 90.00°
Element x y z (fractional)
Hf1 0.000 0.000 0.500
Hf2 0.000 0.500 0.000
Ta1 0.500 0.321 0.354
Ta2 0.500 0.679 0.646
Ta3 0.500 0.179 0.854
Ta4 0.500 0.821 0.146
Rh1 0.500 0.292 0.115
Rh2 0.500 0.708 0.885
Rh3 0.500 0.792 0.385
Rh4 0.500 0.208 0.615
Rh5 0.000 0.941 0.747
Rh6 0.000 0.059 0.253
Rh7 0.000 0.441 0.753
Rh8 0.000 0.559 0.247
Rh9 0.000 0.500 0.500
Rh10 0.000 0.000 0.000

Space group: Pbam
N(E_F) (states/eV per atom): 0.639
Final energy (eV per cell): -150.8

***

No. 3
Material: TlAs2HSe
Method: DFT, PBE-GGA
State: optimized geometry

Cell: 3.958 3.958 7.394 Å, 90.00 90.00 90.00°
Element x y z (fractional)
H1 0.000 0.000 0.000
Tl1 0.500 0.500 0.500
As1 0.000 0.500 0.000
As2 0.500 0.000 0.000
Se1 0.000 0.000 0.500

Space group: P4/mmm
N(E_F) (states/eV per atom): 1.036
Final energy (eV per cell): -16.1

***

No. 4
Material: RbNaSnAu2
Method: DFT, PBE-GGA
State: optimized geometry

Cell: 5.387 5.387 5.755 Å, 90.00 90.00 90.00°
Element x y z (fractional)
Na1 0.000 0.000 0.500
Au1 0.000 0.500 0.000
Au2 0.500 0.000 0.000
Sn1 0.000 0.000 0.000
Rb1 0.500 0.500 0.500

Space group: P4/mmm
N(E_F) (states/eV per atom): 0.499
Final energy (eV per cell): -13.5

***

Copy entry 1 word for word.
Material: Al8In
Method: DFT, PBE-GGA
State: optimized geometry

Cell: 6.549 6.549 6.549 Å, 95.69 95.69 143.29°
Element x y z (fractional)
Al1 0.326 0.674 0.000
Al2 0.674 0.326 0.000
Al3 0.000 0.340 0.340
Al4 0.674 0.674 0.348
Al5 0.340 0.000 0.340
Al6 0.326 0.326 0.652
Al7 0.000 0.660 0.660
Al8 0.660 0.000 0.660
In1 0.000 0.000 0.000

Space group: I4/mmm
N(E_F) (states/eV per atom): 0.499
Final energy (eV per cell): -31.9